This record from the Alexandria database describes an optimized crystal structure of TiIn2Pb. The functional is PBE.

Output
- Raw total energy: -63.6 eV per cell

Geometry as CIF:
```
data_TiIn2Pb
_chemical_formula_sum 'Ti4 In8 Pb4'
_cell_length_a 8.3273
_cell_length_b 8.3273
_cell_length_c 5.9041
_cell_angle_alpha 90.00
_cell_angle_beta 90.00
_cell_angle_gamma 90.00
_space_group_name_H-M_alt 'I -4 2 d'
_space_group_IT_number 122
_space_group_name_Hall 'I -4 2bw'
loop_
_atom_site_label
_atom_site_type_symbol
_atom_site_fract_x
_atom_site_fract_y
_atom_site_fract_z
Ti1 Ti 0.0000 0.0000 0.0000
In1 In 0.2235 0.2500 0.1250
Pb1 Pb 0.0000 0.0000 0.5000
```

***

This record from the Alexandria database describes an optimized crystal structure of TiInPb2W. The functional is PBE.

Output
- Raw total energy: -21.4 eV per cell

Geometry as CIF:
```
data_TiInPb2W
_chemical_formula_sum 'Ti1 In1 Pb2 W1'
_cell_length_a 5.5291
_cell_length_b 5.5291
_cell_length_c 5.1971
_cell_angle_alpha 90.00
_cell_angle_beta 90.00
_cell_angle_gamma 90.00
_space_group_name_H-M_alt 'P 4/m m m'
_space_group_IT_number 123
_space_group_name_Hall '-P 4 2'
loop_
_atom_site_label
_atom_site_type_symbol
_atom_site_fract_x
_atom_site_fract_y
_atom_site_fract_z
Ti1 Ti 0.0000 0.0000 0.0000
In1 In 0.0000 0.0000 0.5000
Pb1 Pb 0.0000 0.5000 0.5000
W1 W 0.5000 0.5000 0.0000
```

***

This record from the Alexandria database describes an optimized crystal structure of Tl3In7Pb2. The functional is PBE.

Output
- Raw total energy: -33.3 eV per cell

Geometry as CIF:
```
data_Tl3In7Pb2
_chemical_formula_sum 'Tl3 In7 Pb2'
_cell_length_a 6.2611
_cell_length_b 3.3278
_cell_length_c 17.0244
_cell_angle_alpha 90.00
_cell_angle_beta 93.41
_cell_angle_gamma 90.00
_space_group_name_H-M_alt 'P 1 2/m 1'
_space_group_IT_number 10
loop_
_space_group_symop_operation_xyz
'x,y,z'
'-x,-y,-z'
'-x,y,-z'
'x,-y,z'
loop_
_atom_site_label
_atom_site_type_symbol
_atom_site_fract_x
_atom_site_fract_y
_atom_site_fract_z
Tl1 Tl 0.0000 0.0000 0.0000
Tl2 Tl 0.0234 0.5000 0.6635
In1 In 0.2401 0.5000 0.1640
In2 In 0.2469 0.0000 0.4982
In3 In 0.2566 0.0000 0.8393
In4 In 0.5000 0.5000 0.0000
Pb1 Pb 0.4793 0.0000 0.3251
```

***

This record from the Alexandria database describes an optimized crystal structure of Tl2InPb. The functional is PBE.

Output
- Excess energy over the best structure of this formula in the dataset: 22 meV per atom

Geometry as CIF:
```
data_Tl2InPb
_chemical_formula_sum 'Tl4 In2 Pb2'
_cell_length_a 3.8699
_cell_length_b 5.6462
_cell_length_c 11.0879
_cell_angle_alpha 90.00
_cell_angle_beta 90.00
_cell_angle_gamma 90.00
_space_group_name_H-M_alt 'C m m 2'
_space_group_IT_number 35
loop_
_space_group_symop_operation_xyz
'x,y,z'
'-x,-y,z'
'-x,y,z'
'x,-y,z'
'x+1/2,y+1/2,z'
'-x+1/2,-y+1/2,z'
'-x+1/2,y+1/2,z'
'x+1/2,-y+1/2,z'
loop_
_atom_site_label
_atom_site_type_symbol
_atom_site_fract_x
_atom_site_fract_y
_atom_site_fract_z
Tl1 Tl 0.0000 0.0000 0.0000
Tl2 Tl 0.0000 0.5000 0.2547
In1 In 0.0000 0.0000 0.4979
Pb1 Pb 0.0000 0.5000 0.7422
```

***

This record from the Alexandria database describes an optimized crystal structure of Tl2In5Pb. The functional is PBE.

Output
- Excess energy over the best structure of this formula in the dataset: 234 meV per atom

Geometry as CIF:
```
data_Tl2In5Pb
_chemical_formula_sum 'Tl2 In5 Pb1'
_cell_length_a 7.1423
_cell_length_b 7.1423
_cell_length_c 5.6961
_cell_angle_alpha 90.00
_cell_angle_beta 90.00
_cell_angle_gamma 90.00
_space_group_name_H-M_alt 'P 4/m m m'
_space_group_IT_number 123
_space_group_name_Hall '-P 4 2'
loop_
_atom_site_label
_atom_site_type_symbol
_atom_site_fract_x
_atom_site_fract_y
_atom_site_fract_z
Tl1 Tl 0.0000 0.5000 0.0000
In1 In 0.0000 0.0000 0.0000
In2 In 0.2952 0.2952 0.5000
Pb1 Pb 0.0000 0.0000 0.5000
```

***

This record from the Alexandria database describes an optimized crystal structure of Tl2In15Pb2. The functional is PBE.

Output
- Excess energy over the best structure of this formula in the dataset: 0 meV per atom

Geometry as CIF:
```
data_Tl2In15Pb2
_chemical_formula_sum 'Tl6 In45 Pb6'
_cell_length_a 10.9398
_cell_length_b 10.9398
_cell_length_c 16.2262
_cell_angle_alpha 90.00
_cell_angle_beta 90.00
_cell_angle_gamma 120.00
_space_group_name_H-M_alt 'R -3 m'
_space_group_IT_number 166
_space_group_name_Hall '-R 3 2"'
loop_
_atom_site_label
_atom_site_type_symbol
_atom_site_fract_x
_atom_site_fract_y
_atom_site_fract_z
Tl1 Tl 0.0000 0.0000 0.1547
In1 In 0.0000 0.2997 0.5000
In2 In 0.0000 0.5000 0.0000
In3 In 0.0173 0.5086 0.6412
Pb1 Pb 0.0000 0.0000 0.3926
```